Entry 1:
Entry from Alexandria: a PBEsol-optimized structure of K2MnPCO7 (meta-GGA SCAN).

Geometry as POSCAR:
```
K2MnPCO7
1.0
5.2994 0.0000 0.0000
0.0000 7.2219 0.0000
-0.2732 0.0000 9.3607
K Mn P C O
4 2 2 2 14
Cartesian
1.2279 0.2024 2.2970
1.2279 3.4085 2.2970
3.7982 3.8134 7.0637
3.7982 7.0195 7.0637
1.3400 1.8055 5.9738
3.6862 5.4164 3.3869
1.0226 5.4164 5.3915
4.0036 1.8055 3.9692
0.9984 1.8055 8.3408
4.0278 5.4164 1.0199
0.0394 1.8055 7.4265
0.2145 1.8055 4.4555
1.0802 1.8055 0.2010
1.2539 4.1356 6.2006
1.2539 6.6973 6.2006
1.9277 5.4164 4.1094
2.1750 1.8055 7.7467
2.8512 5.4164 1.6141
3.0985 1.8055 5.2514
3.7723 0.5246 3.1601
3.7723 3.0864 3.1601
3.9460 5.4164 9.1598
4.8117 5.4164 4.9052
4.9868 5.4164 1.9342
```

## Properties
* uncorrected formation energy: -2.179 eV per atom
* symmetry: P2_1/m (11)

---

Entry 2:
Entry from Alexandria: a PBEsol-optimized structure of FeWAu (meta-GGA SCAN).

Geometry as POSCAR:
```
FeWAu
1.0
5.9333 0.0000 0.0000
0.0000 5.9333 0.0000
0.0000 0.0000 5.9333
Fe W Au
4 4 4
Cartesian
0.0000 0.0000 0.0000
0.0000 2.9667 2.9667
2.9667 0.0000 2.9667
2.9667 2.9667 0.0000
0.0000 0.0000 2.9667
0.0000 2.9667 0.0000
2.9667 0.0000 0.0000
2.9667 2.9667 2.9667
1.4833 1.4833 4.4500
1.4833 4.4500 1.4833
4.4500 1.4833 1.4833
4.4500 4.4500 4.4500
```

## Properties
* energy relative to the elements: 83 kJ/mol of atoms
* energy relative to the lowest polymorph listed for this composition: 0.6220 eV/atom
* symmetry: F-43m (216)

---

Entry 3:
Entry from Alexandria: a PBEsol-optimized structure of SrZrTaN2 (meta-GGA SCAN).

Geometry as POSCAR:
```
SrZrTaN2
1.0
4.1156 0.0000 0.0000
0.0000 4.1156 0.0000
0.0000 0.0000 5.6730
Sr Zr Ta N
1 1 1 2
Cartesian
0.0000 0.0000 0.0000
2.0578 2.0578 0.0000
0.0000 0.0000 2.8365
0.0000 2.0578 2.8365
2.0578 0.0000 2.8365
```

## Properties
* uncorrected formation energy: 1.157 eV per atom
* symmetry: P4/mmm (123)

---

Entry 4:
Entry from Alexandria: a PBEsol-optimized structure of BeRe2Sn2 (meta-GGA SCAN).

Geometry as POSCAR:
```
BeRe2Sn2
1.0
3.7942 0.0000 0.0000
0.0000 3.7942 0.0000
0.0000 0.0000 13.0087
Be Re Sn
2 4 4
Cartesian
0.0000 0.0000 0.0000
1.8971 1.8971 6.5044
0.0000 0.0000 5.2874
0.0000 0.0000 7.7213
1.8971 1.8971 1.2169
1.8971 1.8971 11.7918
0.0000 1.8971 3.2522
0.0000 1.8971 9.7566
1.8971 0.0000 3.2522
1.8971 0.0000 9.7566
```

## Properties
* energy relative to the elements: 116 kJ/mol of atoms
* symmetry: I4/mmm (139)

---

Entry 5:
Entry from Alexandria: a PBEsol-optimized structure of KMo3Cl (meta-GGA SCAN).

Geometry as POSCAR:
```
KMo3Cl
1.0
4.5218 0.0000 0.0000
0.0000 4.5218 0.0000
0.0000 0.0000 4.5218
K Mo Cl
1 3 1
Cartesian
0.0000 0.0000 0.0000
0.0000 0.0000 2.2609
0.0000 2.2609 0.0000
2.2609 0.0000 0.0000
2.2609 2.2609 2.2609
```

## Properties
* uncorrected formation energy: 3.667 eV per atom
* symmetry: Pm-3m (221)

---

Entry 6:
Entry from Alexandria: a PBEsol-optimized structure of CaLa2Hf (meta-GGA SCAN).

Geometry as POSCAR:
```
CaLa2Hf
1.0
7.8427 0.0000 0.0000
0.0000 7.8427 0.0000
0.0000 0.0000 7.8427
Ca La Hf
4 8 4
Cartesian
0.0000 0.0000 0.0000
0.0000 3.9213 3.9213
3.9213 0.0000 3.9213
3.9213 3.9213 0.0000
1.9607 1.9607 1.9607
1.9607 1.9607 5.8820
1.9607 5.8820 1.9607
1.9607 5.8820 5.8820
5.8820 1.9607 1.9607
5.8820 1.9607 5.8820
5.8820 5.8820 1.9607
5.8820 5.8820 5.8820
0.0000 0.0000 3.9213
0.0000 3.9213 0.0000
3.9213 0.0000 0.0000
3.9213 3.9213 3.9213
```

## Properties
* energy relative to the elements: 31 kJ/mol of atoms
* symmetry: Fm-3m (225)

---

Q: Which N(E_F) values were calculated for the entries above? A: 0.000 0.839 0.710 0.537 1.114 1.497, in states/eV/atom.